[1]
First-principles (PBE) data for Mg2H2Rh after structural relaxation, as listed in the Alexandria database.

Structure (POSCAR):
```
Mg2H2Rh
1.0
3.0651 0.0000 0.0000
0.0000 3.0651 0.0000
0.0000 0.0000 11.9767
Mg H Rh
4 4 2
Direct
0.0000 0.0000 0.1456 Mg
0.0000 0.0000 0.8544 Mg
0.5000 0.5000 0.3544 Mg
0.5000 0.5000 0.6456 Mg
0.0000 0.5000 0.2500 H
0.0000 0.5000 0.7500 H
0.5000 0.0000 0.2500 H
0.5000 0.0000 0.7500 H
0.0000 0.0000 0.5000 Rh
0.5000 0.5000 0.0000 Rh
```

Output
Symmetry: I4/mmm, No. 139
Polymorph energy (0 for the lowest one) (meV/atom): 190.9
Volume (Å³ per cell): 113
E_tot (eV per atom): -3.575

***

[2]
First-principles (PBE) data for MgHRh3 after structural relaxation, as listed in the Alexandria database.

Structure (POSCAR):
```
MgHRh3
1.0
4.5127 -2.8033 0.0000
4.5127 2.8033 0.0000
-4.3900 0.0000 4.8297
Mg H Rh
2 2 6
Direct
0.0000 0.0000 0.0000 Mg
0.0885 0.0885 0.6458 Mg
0.5161 0.5161 0.3034 H
0.7741 0.7741 0.2920 H
0.0105 0.5094 0.4979 Rh
0.0730 0.5725 0.1389 Rh
0.4969 0.4969 0.9751 Rh
0.5094 0.0105 0.4979 Rh
0.5725 0.0730 0.1389 Rh
0.5748 0.5748 0.6481 Rh
```

Output
Symmetry: Cm, No. 8
Polymorph energy (0 for the lowest one) (meV/atom): 27.9
Volume (Å³ per cell): 122
E_tot (eV per atom): -5.626

***

[3]
First-principles (PBE) data for Mg3H9Rh4 after structural relaxation, as listed in the Alexandria database.

Structure (POSCAR):
```
Mg3H9Rh4
1.0
2.4064 1.3894 7.0634
-2.4064 1.3894 7.0634
0.0000 -2.7787 7.0634
Mg H Rh
3 9 4
Direct
0.0000 0.0000 0.0000 Mg
0.4298 0.4298 0.4298 Mg
0.5702 0.5702 0.5702 Mg
0.0000 0.4682 0.5318 H
0.0505 0.5665 0.0824 H
0.0824 0.0505 0.5665 H
0.4335 0.9495 0.9176 H
0.4682 0.5318 0.0000 H
0.5318 0.0000 0.4682 H
0.5665 0.0824 0.0505 H
0.9176 0.4335 0.9495 H
0.9495 0.9176 0.4335 H
0.1456 0.1456 0.1456 Rh
0.2859 0.2859 0.2859 Rh
0.7141 0.7141 0.7141 Rh
0.8544 0.8544 0.8544 Rh
```

Output
Symmetry: R32, No. 155
Volume (Å³ per cell): 142
E_tot (eV per atom): -4.273

***

[4]
First-principles (PBE) data for Mg12H5Rh3 after structural relaxation, as listed in the Alexandria database.

Structure (POSCAR):
```
Mg12H5Rh3
1.0
-6.8314 6.8314 6.8314
6.8314 -6.8314 6.8314
6.8314 6.8314 -6.8314
Mg H Rh
48 20 12
Direct
0.0269 0.2118 0.1203 Mg
0.0269 0.3151 0.9066 Mg
0.0915 0.7118 0.6849 Mg
0.0915 0.8797 0.4066 Mg
0.0934 0.6203 0.4085 Mg
0.0934 0.9731 0.6849 Mg
0.1203 0.0269 0.2118 Mg
0.1203 0.5934 0.9085 Mg
0.1849 0.2118 0.5915 Mg
0.1849 0.4731 0.5934 Mg
0.2118 0.1203 0.0269 Mg
0.2118 0.5915 0.1849 Mg
0.2882 0.3151 0.9085 Mg
0.2882 0.4731 0.3797 Mg
0.3151 0.9066 0.0269 Mg
0.3151 0.9085 0.2882 Mg
0.3797 0.2882 0.4731 Mg
0.3797 0.5915 0.9066 Mg
0.4066 0.0915 0.8797 Mg
0.4066 0.8151 0.5269 Mg
0.4085 0.0934 0.6203 Mg
0.4085 0.8151 0.7882 Mg
0.4731 0.3797 0.2882 Mg
0.4731 0.5934 0.1849 Mg
0.5269 0.4066 0.8151 Mg
0.5269 0.6203 0.7118 Mg
0.5915 0.1849 0.2118 Mg
0.5915 0.9066 0.3797 Mg
0.5934 0.1849 0.4731 Mg
0.5934 0.9085 0.1203 Mg
0.6203 0.4085 0.0934 Mg
0.6203 0.7118 0.5269 Mg
0.6849 0.0915 0.7118 Mg
0.6849 0.0934 0.9731 Mg
0.7118 0.5269 0.6203 Mg
0.7118 0.6849 0.0915 Mg
0.7882 0.4085 0.8151 Mg
0.7882 0.8797 0.9731 Mg
0.8151 0.5269 0.4066 Mg
0.8151 0.7882 0.4085 Mg
0.8797 0.4066 0.0915 Mg
0.8797 0.9731 0.7882 Mg
0.9066 0.0269 0.3151 Mg
0.9066 0.3797 0.5915 Mg
0.9085 0.1203 0.5934 Mg
0.9085 0.2882 0.3151 Mg
0.9731 0.6849 0.0934 Mg
0.9731 0.7882 0.8797 Mg
0.0000 0.0000 0.0000 H
0.0000 0.0000 0.5000 H
0.0000 0.5000 0.0000 H
0.0000 0.5000 0.5000 H
0.1250 0.7500 0.8750 H
0.1250 0.8750 0.2500 H
0.2500 0.1250 0.8750 H
0.2500 0.6250 0.3750 H
0.3750 0.2500 0.6250 H
0.3750 0.6250 0.7500 H
0.5000 0.0000 0.0000 H
0.5000 0.0000 0.5000 H
0.5000 0.5000 0.0000 H
0.5000 0.5000 0.5000 H
0.6250 0.3750 0.2500 H
0.6250 0.7500 0.3750 H
0.7500 0.3750 0.6250 H
0.7500 0.8750 0.1250 H
0.8750 0.1250 0.7500 H
0.8750 0.2500 0.1250 H
0.1250 0.2500 0.3750 Rh
0.1250 0.3750 0.7500 Rh
0.2500 0.3750 0.1250 Rh
0.2500 0.8750 0.6250 Rh
0.3750 0.1250 0.2500 Rh
0.3750 0.7500 0.1250 Rh
0.6250 0.2500 0.8750 Rh
0.6250 0.8750 0.7500 Rh
0.7500 0.1250 0.3750 Rh
0.7500 0.6250 0.8750 Rh
0.8750 0.6250 0.2500 Rh
0.8750 0.7500 0.6250 Rh
```

Output
Symmetry: Ia-3d, No. 230
Volume (Å³ per cell): 1275
E_tot (eV per atom): -3.046

***

[5]
First-principles (PBE) data for MgHRh3 after structural relaxation, as listed in the Alexandria database.

Structure (POSCAR):
```
MgHRh3
1.0
4.5992 0.0000 0.0000
0.0000 5.5657 0.0000
-0.1422 0.0000 4.8228
Mg H Rh
2 2 6
Direct
0.2486 0.2500 0.1548 Mg
0.7514 0.7500 0.8452 Mg
0.0044 0.7500 0.4623 H
0.9956 0.2500 0.5377 H
0.2554 0.9996 0.6640 Rh
0.2554 0.5004 0.6640 Rh
0.2600 0.7500 0.1626 Rh
0.7400 0.2500 0.8374 Rh
0.7446 0.0004 0.3360 Rh
0.7446 0.4996 0.3360 Rh
```

Output
Symmetry: P2_1/m, No. 11
Polymorph energy (0 for the lowest one) (meV/atom): 85.6
Volume (Å³ per cell): 123
E_tot (eV per atom): -5.569

***

[6]
First-principles (PBE) data for MgHRh3 after structural relaxation, as listed in the Alexandria database.

Structure (POSCAR):
```
MgHRh3
1.0
6.3436 0.0000 0.0000
0.0000 6.4414 0.0000
-2.5989 0.0000 6.3243
Mg H Rh
4 4 12
Direct
0.1390 0.1833 0.0531 Mg
0.1390 0.3167 0.5531 Mg
0.8610 0.6833 0.4469 Mg
0.8610 0.8167 0.9469 Mg
0.4699 0.6445 0.3511 H
0.4699 0.8555 0.8511 H
0.5301 0.1445 0.1489 H
0.5301 0.3555 0.6489 H
0.1527 0.5961 0.2565 Rh
0.1527 0.9039 0.7565 Rh
0.2777 0.5238 0.9288 Rh
0.2777 0.9762 0.4288 Rh
0.4738 0.6453 0.6643 Rh
0.4738 0.8547 0.1643 Rh
0.5262 0.1453 0.8357 Rh
0.5262 0.3547 0.3357 Rh
0.7223 0.0238 0.5712 Rh
0.7223 0.4762 0.0712 Rh
0.8473 0.0961 0.2435 Rh
0.8473 0.4039 0.7435 Rh
```

Output
Symmetry: P2_1/c, No. 14
Polymorph energy (0 for the lowest one) (meV/atom): 256.2
Volume (Å³ per cell): 258
E_tot (eV per atom): -5.398